{
  "formula": "AgGeSbTe2",
  "functional": "PBE",
  "state": "relaxed",
  "lattice": [[-1.8453, 0.0873, -5.1060], [-0.0157, -5.4292, -0.0871], [-5.0370, -0.0146, 1.8202]],
  "species": ["Ge", "Te", "Te", "Ag", "Sb"],
  "fractional_positions": [[0.0000, 0.0000, 0.0000], [0.0000, 0.5000, 0.0000], [0.5000, 0.0000, 0.0000], [0.5000, 0.5000, 0.5000], [0.0000, 0.0000, 0.5000]],
  "raw_formation_energy_mev_per_atom": 634,
  "final_energy_ev_per_atom": -2.941
}



{
  "formula": "Li2LaTc",
  "functional": "PBE",
  "state": "relaxed",
  "lattice": [[-2.2114, -1.3303, 0.9979], [1.2039, -2.4261, -0.5663], [4.1279, -0.0663, 9.0593]],
  "species": ["Li", "Li", "La", "Tc"],
  "fractional_positions": [[0.0000, 0.0000, 0.0452], [0.0000, 0.0000, 0.4548], [0.5000, 0.5000, 0.7500], [0.5000, 0.5000, 0.2500]],
  "final_energy_ev_per_atom": -4.265
}



{
  "formula": "HoScB8Rh8",
  "functional": "PBE",
  "state": "relaxed",
  "lattice": [[5.3150, 0.0000, 0.0000], [0.0000, 5.3150, 0.0000], [0.0000, 0.0000, 7.4034]],
  "species": ["Rh", "Rh", "Rh", "Rh", "Rh", "Rh", "Rh", "Rh", "B", "B", "B", "B", "B", "B", "B", "B", "Ho", "Sc"],
  "fractional_positions": [[0.5000, 0.2504, 0.3554], [0.7496, 0.5000, 0.6446], [0.2504, 0.5000, 0.6446], [0.7526, 0.0000, 0.8500], [0.0000, 0.2474, 0.1500], [0.0000, 0.7526, 0.1500], [0.2474, 0.0000, 0.8500], [0.5000, 0.7496, 0.3554], [0.1697, 0.5000, 0.3529], [0.5000, 0.1697, 0.6471], [0.8303, 0.5000, 0.3529], [0.5000, 0.8303, 0.6471], [0.3318, 0.0000, 0.1473], [0.0000, 0.3318, 0.8527], [0.6682, 0.0000, 0.1473], [0.0000, 0.6682, 0.8527], [0.5000, 0.5000, 0.0000], [0.0000, 0.0000, 0.5000]],
  "final_energy_ev_per_atom": -7.403
}



{
  "formula": "UGa4Pt2",
  "functional": "PBE",
  "state": "relaxed",
  "lattice": [[-1.2761, -3.0281, -2.8467], [3.7540, -4.5327, 3.1387], [-13.2601, -3.9536, 10.1498]],
  "species": ["Ga", "Ga", "Ga", "Ga", "Ga", "Ga", "Ga", "Ga", "Ga", "Ga", "Ga", "Ga", "Ga", "Ga", "Ga", "Ga", "Pt", "Pt", "Pt", "Pt", "Pt", "Pt", "Pt", "Pt", "U", "U", "U", "U"],
  "fractional_positions": [[0.2500, 0.2651, 0.6895], [0.2500, 0.2349, 0.1895], [0.7500, 0.6616, 0.9620], [0.7500, 0.7349, 0.3105], [0.2500, 0.0142, 0.9310], [0.2500, 0.4858, 0.4310], [0.7500, 0.9858, 0.0690], [0.7500, 0.8384, 0.4620], [0.7500, 0.7651, 0.8105], [0.2500, 0.1616, 0.5380], [0.7500, 0.5142, 0.5690], [0.2500, 0.8288, 0.1850], [0.2500, 0.6712, 0.6850], [0.7500, 0.1712, 0.8150], [0.2500, 0.3384, 0.0380], [0.7500, 0.3288, 0.3150], [0.2500, 0.7408, 0.0370], [0.7500, 0.4641, 0.7163], [0.2500, 0.7592, 0.5370], [0.7500, 0.2408, 0.4630], [0.7500, 0.2592, 0.9630], [0.7500, 0.0359, 0.2163], [0.2500, 0.9641, 0.7837], [0.2500, 0.5359, 0.2837], [0.2500, 0.4805, 0.8634], [0.7500, 0.5195, 0.1366], [0.7500, 0.9805, 0.6366], [0.2500, 0.0195, 0.3634]],
  "final_energy_ev_per_atom": -5.653
}



{
  "formula": "TlPbSe2O",
  "functional": "PBE",
  "state": "relaxed",
  "lattice": [[-2.2273, 0.3225, 4.1998], [-4.2841, -1.9271, -2.1241], [1.4370, -4.4076, 1.1006]],
  "species": ["O", "Se", "Se", "Pb", "Tl"],
  "fractional_positions": [[0.0000, 0.0000, 0.0000], [0.0000, 0.0000, 0.5000], [0.5000, 0.0000, 0.0000], [0.5000, 0.5000, 0.5000], [0.0000, 0.5000, 0.0000]],
  "raw_formation_energy_mev_per_atom": 16,
  "final_energy_ev_per_atom": -3.584
}



{
  "formula": "AcSm3Y6Er2",
  "functional": "PBE",
  "state": "relaxed",
  "lattice": [[6.2500, 0.0005, 0.0122], [-3.1230, 5.4138, 0.0122], [-1.0607, -1.8366, 11.7491]],
  "species": ["Sm", "Sm", "Sm", "Ac", "Y", "Y", "Y", "Y", "Y", "Y", "Er", "Er"],
  "fractional_positions": [[0.1671, 0.8329, 0.5000], [0.5000, 0.5000, 0.5000], [0.8329, 0.1671, 0.5000], [0.0000, 0.0000, 0.0000], [0.7482, 0.7482, 0.2519], [0.9153, 0.5791, 0.7482], [0.5791, 0.9153, 0.7482], [0.4209, 0.0847, 0.2518], [0.2518, 0.2518, 0.7481], [0.0847, 0.4209, 0.2518], [0.3333, 0.6667, 0.0000], [0.6667, 0.3333, 0.0000]],
  "final_energy_ev_per_atom": -5.488
}



{
  "formula": "Nd2TiCuS5",
  "functional": "PBE",
  "state": "relaxed",
  "lattice": [[-0.6472, -0.4139, 3.7493], [-7.4267, -2.2096, -3.4793], [3.4774, -10.7623, -0.5878]],
  "species": ["Cu", "Cu", "Nd", "Nd", "Nd", "Nd", "S", "S", "S", "S", "S", "S", "S", "S", "S", "S", "Ti", "Ti"],
  "fractional_positions": [[0.4323, 0.8646, 0.4472], [0.5677, 0.1354, 0.9472], [0.1163, 0.2325, 0.6947], [0.8730, 0.7459, 0.8103], [0.1270, 0.2541, 0.3103], [0.8837, 0.7675, 0.1947], [0.6515, 0.3031, 0.5058], [0.0520, 0.1041, 0.0537], [0.9480, 0.8959, 0.5537], [0.7101, 0.4201, 0.1619], [0.6958, 0.3915, 0.8633], [0.5016, 0.0031, 0.2747], [0.4984, 0.9969, 0.7747], [0.2899, 0.5799, 0.6619], [0.3042, 0.6085, 0.3633], [0.3485, 0.6969, 0.0058], [0.8088, 0.6175, 0.5123], [0.1912, 0.3825, 0.0123]],
  "raw_formation_energy_mev_per_atom": -1556,
  "final_energy_ev_per_atom": -6.241
}



{
  "formula": "CoNiMo3",
  "functional": "PBE",
  "state": "relaxed",
  "lattice": [[4.4179, 0.0000, 0.0000], [0.0000, 4.4179, 0.0000], [0.0000, 0.0000, 4.4179]],
  "species": ["Mo", "Mo", "Mo", "Ni", "Co"],
  "fractional_positions": [[0.5000, 0.0000, 0.0000], [0.0000, 0.5000, 0.0000], [0.0000, 0.0000, 0.5000], [0.0000, 0.0000, 0.0000], [0.5000, 0.5000, 0.5000]],
  "final_energy_ev_per_atom": -7.465
}



Repeat the eighth record exactly.
{
  "formula": "CoNiMo3",
  "functional": "PBE",
  "state": "relaxed",
  "lattice": [[4.4179, 0.0000, 0.0000], [0.0000, 4.4179, 0.0000], [0.0000, 0.0000, 4.4179]],
  "species": ["Mo", "Mo", "Mo", "Ni", "Co"],
  "fractional_positions": [[0.5000, 0.0000, 0.0000], [0.0000, 0.5000, 0.0000], [0.0000, 0.0000, 0.5000], [0.0000, 0.0000, 0.0000], [0.5000, 0.5000, 0.5000]],
  "final_energy_ev_per_atom": -7.465
}